1.
Entry from the Alexandria database: Fe3BiF after structural relaxation (GGA+U).

Properties
The energy relative to the lowest polymorph listed for this composition is 441 meV/atom.

Lattice parameters (Å, degrees): 5.274 5.274 5.274 90.00 90.00 90.00
Fractional coordinates of all 5 atoms:
Fe  0.000  0.000  0.500
Fe  0.000  0.500  0.000
Fe  0.500  0.000  0.000
Bi  0.000  0.000  0.000
F  0.500  0.500  0.500


2.
Entry from the Alexandria database: FeBiF5 after structural relaxation (GGA+U).

Lattice parameters (Å, degrees): 4.942 4.942 7.625 94.41 94.41 89.52
Fractional coordinates of all 14 atoms:
Fe  0.000  0.000  0.000
Fe  0.000  0.000  0.500
Bi  0.489  0.511  0.750
Bi  0.511  0.489  0.250
F  0.090  0.652  0.857
F  0.149  0.851  0.250
F  0.238  0.373  0.490
F  0.348  0.910  0.643
F  0.373  0.238  0.990
F  0.627  0.762  0.010
F  0.652  0.090  0.357
F  0.762  0.627  0.510
F  0.851  0.149  0.750
F  0.910  0.348  0.143


3.
Entry from the Alexandria database: Fe2HgBiF after structural relaxation (GGA+U).

Lattice parameters (Å, degrees): 5.274 5.274 5.845 90.00 90.00 90.00
Fractional coordinates of all 5 atoms:
Fe  0.000  0.500  0.000
Fe  0.500  0.000  0.000
Hg  0.000  0.000  0.500
Bi  0.000  0.000  0.000
F  0.500  0.500  0.500


4.
Entry from the Alexandria database: FeBiIr2F after structural relaxation (GGA+U).

Lattice parameters (Å, degrees): 4.680 4.680 3.906 90.00 90.00 90.00
Fractional coordinates of all 5 atoms:
Fe  0.000  0.000  0.000
Bi  0.500  0.500  0.000
Ir  0.000  0.500  0.500
Ir  0.500  0.000  0.500
F  0.000  0.000  0.500


5.
Entry from the Alexandria database: KFeBiF6 after structural relaxation (GGA+U).

Lattice parameters (Å, degrees): 5.901 5.901 5.545 90.05 90.05 119.28
Fractional coordinates of all 9 atoms:
K  0.000  0.000  0.000
Fe  0.668  0.332  0.500
Bi  0.334  0.666  0.500
F  0.378  0.017  0.709
F  0.381  0.355  0.292
F  0.634  0.021  0.290
F  0.645  0.619  0.708
F  0.979  0.366  0.710
F  0.983  0.622  0.291


6.
Entry from the Alexandria database: LaFeBiF2 after structural relaxation (GGA+U).

Lattice parameters (Å, degrees): 4.529 4.529 5.681 90.00 90.00 90.00
Fractional coordinates of all 5 atoms:
La  0.000  0.000  0.000
Fe  0.500  0.500  0.500
Bi  0.500  0.500  0.000
F  0.000  0.500  0.500
F  0.500  0.000  0.500


7.
Entry from the Alexandria database: LiFeBiF6 after structural relaxation (GGA+U).

Lattice parameters (Å, degrees): 5.329 5.329 10.027 90.00 90.00 120.00
Fractional coordinates of all 18 atoms:
Li  0.333  0.667  0.250
Li  0.667  0.333  0.750
Fe  0.333  0.667  0.750
Fe  0.667  0.333  0.250
Bi  0.000  0.000  0.000
Bi  0.000  0.000  0.500
F  0.003  0.350  0.136
F  0.003  0.653  0.364
F  0.347  0.350  0.364
F  0.347  0.997  0.136
F  0.350  0.003  0.636
F  0.350  0.347  0.864
F  0.650  0.653  0.136
F  0.650  0.997  0.364
F  0.653  0.003  0.864
F  0.653  0.650  0.636
F  0.997  0.347  0.636
F  0.997  0.650  0.864


8.
Entry from the Alexandria database: MnFeBiF6 after structural relaxation (GGA+U).

Lattice parameters (Å, degrees): 5.592 5.592 10.149 90.00 90.00 120.00
Fractional coordinates of all 18 atoms:
Mn  0.333  0.667  0.250
Mn  0.667  0.333  0.750
Fe  0.333  0.667  0.750
Fe  0.667  0.333  0.250
Bi  0.000  0.000  0.000
Bi  0.000  0.000  0.500
F  0.017  0.345  0.131
F  0.017  0.672  0.369
F  0.328  0.345  0.369
F  0.328  0.983  0.131
F  0.345  0.017  0.631
F  0.345  0.328  0.869
F  0.655  0.672  0.131
F  0.655  0.983  0.369
F  0.672  0.017  0.869
F  0.672  0.655  0.631
F  0.983  0.328  0.631
F  0.983  0.655  0.869


9.
Entry from the Alexandria database: FeBiN2F after structural relaxation (GGA+U).

Properties
The energy relative to the lowest polymorph listed for this composition is 689 meV/atom.

Lattice parameters (Å, degrees): 4.330 4.330 4.330 90.00 90.00 90.00
Fractional coordinates of all 5 atoms:
Fe  0.000  0.000  0.000
Bi  0.500  0.500  0.500
N  0.000  0.500  0.500
N  0.500  0.000  0.500
F  0.500  0.500  0.000


10.
Entry from the Alexandria database: FeBiNF2 after structural relaxation (GGA+U).

Properties
The energy relative to the lowest polymorph listed for this composition is 518 meV/atom.

Lattice parameters (Å, degrees): 4.492 4.492 4.665 90.00 90.00 90.00
Fractional coordinates of all 5 atoms:
Fe  0.000  0.000  0.000
Bi  0.500  0.500  0.500
N  0.500  0.500  0.000
F  0.000  0.500  0.500
F  0.500  0.000  0.500


11.
Entry from the Alexandria database: FeBiN2F after structural relaxation (GGA+U).

Properties
The energy relative to the lowest polymorph listed for this composition is 0 meV/atom.

Lattice parameters (Å, degrees): 3.998 3.998 3.942 90.00 90.00 90.00
Fractional coordinates of all 5 atoms:
Fe  0.000  0.000  0.000
Bi  0.500  0.500  0.500
N  0.000  0.500  0.000
N  0.500  0.000  0.000
F  0.000  0.000  0.500


12.
Entry from the Alexandria database: FeBiNF2 after structural relaxation (GGA+U).

Properties
The energy relative to the lowest polymorph listed for this composition is 0 meV/atom.

Lattice parameters (Å, degrees): 4.008 4.008 4.241 90.00 90.00 90.00
Fractional coordinates of all 5 atoms:
Fe  0.000  0.000  0.000
Bi  0.500  0.500  0.500
N  0.000  0.000  0.500
F  0.000  0.500  0.000
F  0.500  0.000  0.000


13.
Entry from the Alexandria database: NaFeBiF6 after structural relaxation (GGA+U).

Lattice parameters (Å, degrees): 5.604 5.604 9.960 90.00 90.00 120.00
Fractional coordinates of all 18 atoms:
Na  0.333  0.667  0.250
Na  0.667  0.333  0.750
Fe  0.333  0.667  0.750
Fe  0.667  0.333  0.250
Bi  0.000  0.000  0.000
Bi  0.000  0.000  0.500
F  0.028  0.350  0.632
F  0.028  0.678  0.868
F  0.322  0.350  0.868
F  0.322  0.972  0.632
F  0.350  0.028  0.132
F  0.350  0.322  0.368
F  0.650  0.678  0.632
F  0.650  0.972  0.868
F  0.678  0.028  0.368
F  0.678  0.650  0.132
F  0.972  0.322  0.132
F  0.972  0.650  0.368


14.
Entry from the Alexandria database: Na2FeBiF6 after structural relaxation (GGA+U).

Lattice parameters (Å, degrees): 5.443 5.720 6.236 116.50 111.23 90.44
Fractional coordinates of all 10 atoms:
Na  0.000  0.000  0.000
Na  0.432  0.498  0.987
Fe  0.215  0.703  0.495
Bi  0.715  0.229  0.491
F  0.063  0.585  0.721
F  0.074  0.062  0.681
F  0.356  0.873  0.303
F  0.363  0.361  0.271
F  0.565  0.793  0.799
F  0.862  0.490  0.195


15.
Entry from the Alexandria database: FeBiO2F after structural relaxation (GGA+U).

Lattice parameters (Å, degrees): 4.446 4.446 4.464 90.00 90.00 90.00
Fractional coordinates of all 5 atoms:
Fe  0.000  0.000  0.000
Bi  0.500  0.500  0.500
O  0.000  0.500  0.500
O  0.500  0.000  0.500
F  0.500  0.500  0.000


16.
Entry from the Alexandria database: FeBiO2F after structural relaxation (GGA+U).

Lattice parameters (Å, degrees): 5.300 4.066 7.544 90.00 92.17 90.00
Fractional coordinates of all 10 atoms:
Fe  0.134  0.250  0.132
Fe  0.866  0.750  0.868
Bi  0.228  0.250  0.636
Bi  0.772  0.750  0.364
O  0.004  0.250  0.866
O  0.034  0.750  0.611
O  0.966  0.250  0.389
O  0.996  0.750  0.134
F  0.492  0.250  0.213
F  0.508  0.750  0.787


17.
Entry from the Alexandria database: FeBiO2F after structural relaxation (GGA+U).

Lattice parameters (Å, degrees): 4.024 4.024 4.024 90.00 90.00 90.00
Fractional coordinates of all 5 atoms:
Fe  0.000  0.000  0.000
Bi  0.500  0.500  0.500
O  0.000  0.500  0.000
O  0.500  0.000  0.000
F  0.000  0.000  0.500


18.
Entry from the Alexandria database: FeBiPd2F after structural relaxation (GGA+U).

Lattice parameters (Å, degrees): 5.117 5.117 5.270 90.00 90.00 90.00
Fractional coordinates of all 5 atoms:
Fe  0.000  0.000  0.000
Bi  0.000  0.000  0.500
Pd  0.000  0.500  0.500
Pd  0.500  0.000  0.500
F  0.500  0.500  0.000


19.
Entry from the Alexandria database: RbFeBiF6 after structural relaxation (GGA+U).

Lattice parameters (Å, degrees): 5.969 5.969 5.907 90.11 90.11 120.18
Fractional coordinates of all 9 atoms:
Rb  0.000  0.000  0.000
Fe  0.334  0.666  0.500
Bi  0.666  0.334  0.500
F  0.017  0.632  0.700
F  0.032  0.395  0.307
F  0.368  0.983  0.300
F  0.373  0.386  0.700
F  0.605  0.968  0.693
F  0.614  0.627  0.300


20.
Entry from the Alexandria database: Rb2FeBiF6 after structural relaxation (GGA+U).

Lattice parameters (Å, degrees): 6.703 6.703 6.703 124.19 124.19 82.88
Fractional coordinates of all 10 atoms:
Rb  0.250  0.750  0.500
Rb  0.750  0.250  0.500
Fe  0.000  0.000  0.000
Bi  0.500  0.500  0.000
F  0.199  0.199  0.000
F  0.242  0.242  0.485
F  0.242  0.758  0.000
F  0.758  0.242  0.000
F  0.758  0.758  0.515
F  0.801  0.801  0.000


no.,final energy (eV/atom)
1,-3.625
2,-5.081
3,-2.912
4,-5.074
5,-4.962
6,-5.073
7,-4.963
8,-5.296
9,-4.785
10,-4.578
11,-5.474
12,-5.097
13,-4.862
14,-4.705
15,-4.909
16,-5.889
17,-5.470
18,-3.650
19,-4.949
20,-4.648